(1)
KAlSb | PBE | relaxed

a = 6.9171 Å, b = 6.9171 Å, c = 6.9171 Å
α = 150.73°, β = 145.65°, γ = 45.73°
With the nearest neighbours (Å) after each atom.
Fractional coordinates of all 3 atoms:
1 K 0.0000 0.0000 0.0000  2 K 3.49, 5 Al 3.71-3.82, 5 Sb 3.73-3.79
2 Al 0.2996 0.2996 0.0000  4 Sb 2.96
3 Sb 0.7026 0.7026 0.0000  4 Al 2.96

Computed properties:
Relative energy among the computed polymorphs (meV/atom): 185
Raw total energy (eV for the cell shown): -9.14
Raw formation energy (eV/atom): -0.059
Density (g/cm³): 3.43

(2)
MgTi2P | PBE | relaxed

a = 4.4551 Å, b = 4.4551 Å, c = 4.4551 Å
α = 60.00°, β = 60.00°, γ = 60.00°
With the nearest neighbours (Å) after each atom.
Fractional coordinates of all 4 atoms:
1 Mg 0.0000 0.0000 0.0000  8 Ti 2.73
2 Ti 0.2500 0.2500 0.2500  4 Mg 2.73, 4 P 2.73
3 Ti 0.7500 0.7500 0.7500  4 Mg 2.73, 4 P 2.73
4 P 0.5000 0.5000 0.5000  8 Ti 2.73

Computed properties:
Relative energy among the computed polymorphs (meV/atom): 99
ΔH_f (0 K) (kJ per mole of atoms): -8
Raw total energy (eV for the cell shown): -23.13
Density (g/cm³): 4.01

(3)
HfMg3 | PBE | relaxed

a = 6.1749 Å, b = 6.1749 Å, c = 6.1749 Å
α = 152.57°, β = 63.21°, γ = 124.27°
With the nearest neighbours (Å) after each atom.
Fractional coordinates of all 4 atoms:
1 Hf 0.0000 0.0000 0.0000  2 Hf 2.93, 10 Mg 3.16-3.24
2 Mg 0.4514 0.7033 0.7480  9 Mg 2.93-3.25, 3 Hf 3.16-3.21
3 Mg 0.5008 0.0008 0.5000  8 Mg 2.93-3.25, 4 Hf 3.23-3.24
4 Mg 0.9553 0.7033 0.2520  9 Mg 2.93-3.25, 3 Hf 3.16-3.21

Computed properties:
ΔH_f (0 K) (kJ per mole of atoms): 12
Raw total energy (eV for the cell shown): -14.23
Density (g/cm³): 4.70

(4)
BaTaInGa2 | PBE | relaxed

a = 5.7761 Å, b = 5.7761 Å, c = 5.5029 Å
α = 90.00°, β = 90.00°, γ = 90.00°
With the nearest neighbours (Å) after each atom.
Fractional coordinates of all 5 atoms:
1 Ba 0.0000 0.0000 0.0000  2 Ta 2.75, 4 Ga 2.89
2 Ta 0.0000 0.0000 0.5000  2 Ba 2.75
3 In 0.5000 0.5000 0.5000  8 Ga 3.99, 4 Ta 4.08
4 Ga 0.0000 0.5000 0.0000  2 Ba 2.89
5 Ga 0.5000 0.0000 0.0000  2 Ba 2.89

Computed properties:
ΔH_f (0 K) (kJ per mole of atoms): 168
Raw total energy (eV for the cell shown): -13.87
Density (g/cm³): 5.18

(5)
K2SrAu4 | PBE | relaxed

a = 12.2467 Å, b = 12.2467 Å, c = 12.2467 Å
α = 22.70°, β = 22.70°, γ = 22.70°
With the nearest neighbours (Å) after each atom.
Fractional coordinates of all 7 atoms:
1 K 0.1106 0.1106 0.1106  6 Au 3.49
2 K 0.8894 0.8894 0.8894  6 Au 3.49
3 Sr 0.0000 0.0000 0.0000  12 Au 3.34
4 Au 0.2815 0.2815 0.2815  3 Au 2.78
5 Au 0.3851 0.3851 0.3851  3 Au 2.78
6 Au 0.6149 0.6149 0.6149  3 Au 2.78
7 Au 0.7185 0.7185 0.7185  3 Au 2.78

Computed properties:
ΔH_f (0 K) (kJ per mole of atoms): -46
Raw total energy (eV for the cell shown): -20.33
Density (g/cm³): 6.60

(6)
Rb4CeSc3Te8 | PBE | relaxed

a = 9.9311 Å, b = 9.9311 Å, c = 9.9311 Å
α = 53.00°, β = 53.00°, γ = 53.00°
With the nearest neighbours (Å) after each atom.
Fractional coordinates of all 16 atoms:
1 Rb 0.0000 0.0000 0.0000  6 Te 3.56
2 Rb 0.0000 0.5000 0.5000  6 Te 3.69-3.70
3 Rb 0.5000 0.0000 0.5000  6 Te 3.69-3.70
4 Rb 0.5000 0.5000 0.0000  6 Te 3.69-3.70
5 Ce 0.5000 0.5000 0.5000  6 Te 3.16
6 Sc 0.0000 0.0000 0.5000  6 Te 2.99-3.01
7 Sc 0.0000 0.5000 0.0000  6 Te 2.99-3.01
8 Sc 0.5000 0.0000 0.0000  6 Te 2.99-3.01
9 Te 0.2147 0.7398 0.7398  2 Sc 2.99, 1 Ce 3.16
10 Te 0.2291 0.2291 0.2291  3 Sc 3.01
11 Te 0.2602 0.2602 0.7853  2 Sc 2.99, 1 Ce 3.16
12 Te 0.2602 0.7853 0.2602  2 Sc 2.99, 1 Ce 3.16
13 Te 0.7398 0.2147 0.7398  2 Sc 2.99, 1 Ce 3.16
14 Te 0.7398 0.7398 0.2147  2 Sc 2.99, 1 Ce 3.16
15 Te 0.7709 0.7709 0.7709  3 Sc 3.01
16 Te 0.7853 0.2602 0.2602  2 Sc 2.99, 1 Ce 3.16

Computed properties:
Raw total energy (eV for the cell shown): -73.91
Raw formation energy (eV/atom): -1.249
Density (g/cm³): 4.70

(7)
Ca2DyMg2In5 | PBE | relaxed

a = 10.8014 Å, b = 10.8014 Å, c = 4.5282 Å
α = 90.00°, β = 90.00°, γ = 90.00°
With the nearest neighbours (Å) after each atom.
Fractional coordinates of all 20 atoms:
1 Ca 0.1732 0.3268 0.0000  3 Mg 3.11-3.25
2 Ca 0.3268 0.8268 0.0000  3 Mg 3.11-3.25
3 Ca 0.6732 0.1732 0.0000  3 Mg 3.11-3.25
4 Ca 0.8268 0.6732 0.0000  3 Mg 3.11-3.25
5 Dy 0.0000 0.0000 0.0000  8 In 3.25
6 Dy 0.5000 0.5000 0.0000  8 In 3.25
7 Mg 0.1234 0.6234 0.0000  6 In 2.95-2.99, 3 Ca 3.11-3.25
8 Mg 0.3766 0.1234 0.0000  6 In 2.95-2.99, 3 Ca 3.11-3.25
9 Mg 0.6234 0.8766 0.0000  6 In 2.95-2.99, 3 Ca 3.11-3.25
10 Mg 0.8766 0.3766 0.0000  6 In 2.95-2.99, 3 Ca 3.11-3.25
11 In 0.0000 0.5000 0.5000  4 Mg 2.95, 4 In 3.28
12 In 0.0698 0.7954 0.5000  2 Mg 2.99, 2 Dy 3.25, 3 In 3.28-3.30
13 In 0.2046 0.0698 0.5000  2 Mg 2.99, 2 Dy 3.25, 3 In 3.28-3.30
14 In 0.2954 0.5698 0.5000  2 Mg 2.99, 2 Dy 3.25, 3 In 3.28-3.30
15 In 0.4302 0.2954 0.5000  2 Mg 2.99, 2 Dy 3.25, 3 In 3.28-3.30
16 In 0.5000 0.0000 0.5000  4 Mg 2.95, 4 In 3.28
17 In 0.5698 0.7046 0.5000  2 Mg 2.99, 2 Dy 3.25, 3 In 3.28-3.30
18 In 0.7046 0.4302 0.5000  2 Mg 2.99, 2 Dy 3.25, 3 In 3.28-3.30
19 In 0.7954 0.9302 0.5000  2 Mg 2.99, 2 Dy 3.25, 3 In 3.28-3.30
20 In 0.9302 0.2046 0.5000  2 Mg 2.99, 2 Dy 3.25, 3 In 3.28-3.30

Computed properties:
ΔH_f (0 K) (kJ per mole of atoms): -28
Raw total energy (eV for the cell shown): -56.83
Density (g/cm³): 5.44

(8)
CePd6Pt2 | PBE | relaxed

a = 6.1582 Å, b = 6.1582 Å, c = 6.1582 Å
α = 60.00°, β = 60.00°, γ = 60.00°
With the nearest neighbours (Å) after each atom.
Fractional coordinates of all 9 atoms:
1 Ce 0.0000 0.0000 0.0000  6 Pd 2.45
2 Pd 0.2808 0.2808 0.7192  1 Ce 2.45, 4 Pd 2.70
3 Pd 0.2808 0.7192 0.2808  1 Ce 2.45, 4 Pd 2.70
4 Pd 0.2808 0.7192 0.7192  1 Ce 2.45, 4 Pd 2.70
5 Pd 0.7192 0.2808 0.2808  1 Ce 2.45, 4 Pd 2.70
6 Pd 0.7192 0.2808 0.7192  1 Ce 2.45, 4 Pd 2.70
7 Pd 0.7192 0.7192 0.2808  1 Ce 2.45, 4 Pd 2.70
8 Pt 0.2500 0.2500 0.2500  12 Pd 3.09
9 Pt 0.7500 0.7500 0.7500  12 Pd 3.09

Computed properties:
Relative energy among the computed polymorphs (meV/atom): 523
ΔH_f (0 K) (kJ per mole of atoms): 9
Raw total energy (eV for the cell shown): -48.32
Density (g/cm³): 11.75

(9)
YbNi4P2 | PBE | relaxed

a = 7.1204 Å, b = 7.1204 Å, c = 3.5662 Å
α = 90.00°, β = 90.00°, γ = 90.00°
With the nearest neighbours (Å) after each atom.
Fractional coordinates of all 14 atoms:
1 Yb 0.0000 0.0000 0.0000  6 P 2.80-2.86, 8 Ni 3.04
2 Yb 0.5000 0.5000 0.5000  6 P 2.80-2.86, 8 Ni 3.04
3 Ni 0.0832 0.3348 0.5000  3 P 2.30-2.32, 1 Ni 2.53
4 Ni 0.1652 0.5832 0.0000  3 P 2.30-2.32, 1 Ni 2.53
5 Ni 0.3348 0.0832 0.5000  3 P 2.30-2.32, 1 Ni 2.53
6 Ni 0.4168 0.8348 0.0000  3 P 2.30-2.32, 1 Ni 2.53
7 Ni 0.5832 0.1652 0.0000  3 P 2.30-2.32, 1 Ni 2.53
8 Ni 0.6652 0.9168 0.5000  3 P 2.30-2.32, 1 Ni 2.53
9 Ni 0.8348 0.4168 0.0000  3 P 2.30-2.32, 1 Ni 2.53
10 Ni 0.9168 0.6652 0.5000  3 P 2.30-2.32, 1 Ni 2.53
11 P 0.2217 0.7783 0.5000  6 Ni 2.30-2.32
12 P 0.2783 0.2783 0.0000  6 Ni 2.30-2.32
13 P 0.7217 0.7217 0.0000  6 Ni 2.30-2.32
14 P 0.7783 0.2217 0.5000  6 Ni 2.30-2.32

Computed properties:
ΔH_f (0 K) (kJ per mole of atoms): -73
Raw total energy (eV for the cell shown): -81.58
Density (g/cm³): 8.63

(10)
LaZn4Ge3 | PBE | relaxed

a = 4.5246 Å, b = 4.5246 Å, c = 7.6443 Å
α = 90.00°, β = 90.00°, γ = 90.00°
With the nearest neighbours (Å) after each atom.
Fractional coordinates of all 8 atoms:
1 La 0.0000 0.0000 0.0000  8 Zn 3.36, 8 Ge 3.43
2 Zn 0.0000 0.5000 0.3247  4 Ge 2.58-2.63, 1 Zn 2.68
3 Zn 0.0000 0.5000 0.6753  4 Ge 2.58-2.63, 1 Zn 2.68
4 Zn 0.5000 0.0000 0.3247  4 Ge 2.58-2.63, 1 Zn 2.68
5 Zn 0.5000 0.0000 0.6753  4 Ge 2.58-2.63, 1 Zn 2.68
6 Ge 0.0000 0.0000 0.5000  8 Zn 2.63
7 Ge 0.5000 0.5000 0.1611  1 Ge 2.46, 4 Zn 2.58
8 Ge 0.5000 0.5000 0.8389  1 Ge 2.46, 4 Zn 2.58

Computed properties:
ΔH_f (0 K) (kJ per mole of atoms): -25
Raw total energy (eV for the cell shown): -25.96
Density (g/cm³): 6.56

(11)
Dy5Tm2Th4 | PBE | relaxed

a = 12.4895 Å, b = 12.4895 Å, c = 12.4895 Å
α = 163.95°, β = 136.12°, γ = 47.02°
With the nearest neighbours (Å) after each atom.
Fractional coordinates of all 11 atoms:
1 Dy 0.0000 0.0000 0.0000  4 Th 3.26, 2 Dy 3.49
2 Dy 0.0562 0.3481 0.7082  3 Tm 3.34-3.69, 2 Dy 3.49, 3 Th 3.51-3.57
3 Dy 0.3601 0.6519 0.7082  3 Tm 3.34-3.69, 2 Dy 3.49, 3 Th 3.51-3.57
4 Dy 0.6399 0.3481 0.2918  3 Tm 3.34-3.69, 2 Dy 3.49, 3 Th 3.51-3.57
5 Dy 0.9438 0.6519 0.2918  3 Tm 3.34-3.69, 2 Dy 3.49, 3 Th 3.51-3.57
6 Tm 0.2705 0.7705 0.5000  1 Th 3.13, 2 Dy 3.34, 2 Tm 3.49
7 Tm 0.7295 0.2295 0.5000  1 Th 3.13, 2 Dy 3.34, 2 Tm 3.49
8 Th 0.2953 0.5000 0.7953  4 Dy 3.26-3.57, 6 Th 3.35-3.49
9 Th 0.4071 0.9071 0.5000  1 Tm 3.13, 6 Th 3.35-3.49
10 Th 0.5929 0.0929 0.5000  1 Tm 3.13, 6 Th 3.35-3.49
11 Th 0.7047 0.5000 0.2047  4 Dy 3.26-3.57, 6 Th 3.35-3.49

Computed properties:
Relative energy among the computed polymorphs (meV/atom): 269
ΔH_f (0 K) (kJ per mole of atoms): 28
Raw total energy (eV for the cell shown): -58.42
Density (g/cm³): 9.26

(12)
BaPtS4 | PBE | relaxed

a = 5.0166 Å, b = 16.7366 Å, c = 7.0306 Å
α = 90.00°, β = 90.00°, γ = 90.00°
With the nearest neighbours (Å) after each atom.
Fractional coordinates of all 24 atoms:
1 Ba 0.0000 0.1433 0.2500  8 S 3.11-3.28
2 Ba 0.0000 0.8567 0.7500  8 S 3.11-3.28
3 Ba 0.5000 0.3567 0.7500  8 S 3.11-3.28
4 Ba 0.5000 0.6433 0.2500  8 S 3.11-3.28
5 Pt 0.0000 0.4127 0.2500  4 S 2.35-2.59
6 Pt 0.0000 0.5873 0.7500  4 S 2.35-2.59
7 Pt 0.5000 0.0873 0.7500  4 S 2.35-2.59
8 Pt 0.5000 0.9127 0.2500  4 S 2.35-2.59
9 S 0.1856 0.1873 0.6800  1 S 2.11, 1 Pt 2.35
10 S 0.1856 0.8127 0.1800  1 S 2.11, 1 Pt 2.35
11 S 0.2139 0.0070 0.9906  1 S 2.16
12 S 0.2139 0.9930 0.4906  1 S 2.16
13 S 0.2861 0.4930 0.4906  1 S 2.16
14 S 0.2861 0.5070 0.9906  1 S 2.16
15 S 0.3144 0.3127 0.1800  1 S 2.11, 1 Pt 2.35
16 S 0.3144 0.6873 0.6800  1 S 2.11, 1 Pt 2.35
17 S 0.6856 0.3127 0.3200  1 S 2.11, 1 Pt 2.35
18 S 0.6856 0.6873 0.8200  1 S 2.11, 1 Pt 2.35
19 S 0.7139 0.4930 0.0094  1 S 2.16
20 S 0.7139 0.5070 0.5094  1 S 2.16
21 S 0.7861 0.0070 0.5094  1 S 2.16
22 S 0.7861 0.9930 0.0094  1 S 2.16
23 S 0.8144 0.1873 0.8200  1 S 2.11, 1 Pt 2.35
24 S 0.8144 0.8127 0.3200  1 S 2.11, 1 Pt 2.35

Computed properties:
Raw total energy (eV for the cell shown): -112.67
Raw formation energy (eV/atom): -0.616
Density (g/cm³): 5.18

Computed D(E_F), in the same sequence as the records: 0.375 0.860 0.863 1.038 0.283 0.365 0.525 1.176 2.155 0.189 1.438 0.046 states/eV per atom.
Computed total moment, in the same sequence as the records: 0.000 0.000 0.000 1.491 0.000 0.993 0.000 0.000 0.160 0.000 0.000 0.000 μB per cell.